DFT (PBE-GGA) results for a relaxed structure of CdAs3Cl.

Cell and atoms, written as POSCAR:
```
CdAs3Cl
1.0
4.938 0.000 0.000
0.000 4.938 0.000
0.000 0.000 4.938
As Cl Cd
3 1 1
Cartesian
0.000 2.469 0.000
0.000 0.000 2.469
2.469 0.000 0.000
0.000 0.000 0.000
2.469 2.469 2.469
```

Energy above the most stable polymorph in this dataset = 0 meV per atom
Magnetic moment = 0.0 Bohr magnetons per cell
DOS(E_F) = 4.44 states/eV/f.u.
Uncorrected formation energy = 0.968 eV/atom
Space-group type = Pm-3m

***

DFT (PBE-GGA) results for a relaxed structure of Cd3AsCl3.

Cell and atoms, written as POSCAR:
```
Cd3AsCl3
1.0
-4.996 3.720 0.253
-3.207 -4.794 7.134
5.459 7.235 1.417
Cd As Cl
6 2 6
Cartesian
-1.328 5.644 5.981
-2.389 4.495 1.941
0.190 7.913 2.615
-1.416 0.518 2.824
-0.355 1.667 6.864
-2.934 -1.750 6.190
-1.175 6.018 3.512
-1.569 0.144 5.293
1.141 3.714 6.312
-0.117 2.351 1.526
2.940 6.402 2.321
-3.885 2.448 2.493
-2.627 3.811 7.279
-5.684 -0.240 6.484
```

Magnetic moment = 0.0 Bohr magnetons per cell
DOS(E_F) = 2.90 states/eV/f.u.
Uncorrected formation energy = -0.539 eV/atom
Space-group type = Cmcm

***

DFT (PBE-GGA) results for a relaxed structure of CdAs2Cl.

Cell and atoms, written as POSCAR:
```
CdAs2Cl
1.0
4.897 0.000 0.000
0.007 4.897 0.000
-2.452 -2.449 3.461
As Cl Cd
2 1 1
Cartesian
0.000 0.000 0.000
0.003 2.449 1.730
2.449 0.000 1.730
2.452 2.449 0.000
```

Energy above the most stable polymorph in this dataset = 449 meV per atom
Magnetic moment = 0.0 Bohr magnetons per cell
DOS(E_F) = 2.19 states/eV/f.u.
Uncorrected formation energy = 0.177 eV/atom
Space-group type = F-43m

***

DFT (PBE-GGA) results for a relaxed structure of Cd2AsCl.

Cell and atoms, written as POSCAR:
```
Cd2AsCl
1.0
-0.845 -6.026 3.141
1.854 -5.167 4.094
-1.886 1.098 4.354
As Cl Cd
1 1 2
Cartesian
-0.658 -7.571 8.692
-0.219 -2.524 2.897
-1.779 0.523 4.571
-0.545 -4.472 5.577
```

Energy above the most stable polymorph in this dataset = 505 meV per atom
Magnetic moment = 0.0 Bohr magnetons per cell
DOS(E_F) = 1.23 states/eV/f.u.
Uncorrected formation energy = 0.053 eV/atom
Space-group type = C2/m

***

DFT (PBE-GGA) results for a relaxed structure of CdAs4Cl.

Cell and atoms, written as POSCAR:
```
CdAs4Cl
1.0
5.549 -1.940 -1.229
1.626 -5.588 1.485
0.861 -4.116 -4.288
Cd As Cl
1 4 1
Cartesian
6.027 -8.733 -3.024
6.092 -5.253 -2.146
3.345 -6.528 -3.938
3.793 -7.390 -0.556
2.841 -4.116 -1.426
0.000 0.000 0.000
```

Magnetic moment = 0.0 Bohr magnetons per cell
DOS(E_F) = 2.30 states/eV/f.u.
Uncorrected formation energy = 0.097 eV/atom
Space-group type = F-43m

***

DFT (PBE-GGA) results for a relaxed structure of CdAs2Cl.

Cell and atoms, written as POSCAR:
```
CdAs2Cl
1.0
-1.458 -0.678 3.170
-1.925 -2.615 -1.445
6.564 -5.814 1.776
As Cl Cd
2 1 1
Cartesian
1.429 -1.266 0.387
-0.885 -2.361 1.081
2.567 -5.419 2.015
3.351 -2.968 0.906
```

Energy above the most stable polymorph in this dataset = 71 meV per atom
Magnetic moment = 0.0 Bohr magnetons per cell
DOS(E_F) = 1.50 states/eV/f.u.
Uncorrected formation energy = -0.202 eV/atom
Space-group type = P4mm

***

- DOS(E_F) of number 1 (CdAs3Cl)?
  4.44 states/eV/f.u.

***

- What is the formula in the fourth record?
  Cd2AsCl

***

- What is the uncorrected formation energy in the fifth record?
  0.097 eV/atom